[1]
This record from Alexandria describes a geometry-optimized HoSO4F2 structure. The functional is PBE.

Computed properties:
The value obtained for the raw formation energy is -18.26 eV/f.u. As for the symmetry: Pmn2_1.

Cell: 5.7036 7.3749 5.2810 Å, 90.00 90.00 90.00°
Element x y z (fractional)
Ho  0.0000  0.1215  0.0000
Ho  0.5000  0.8785  0.5000
S  0.0000  0.5774  0.6306
S  0.5000  0.4226  0.1306
O  0.0000  0.4026  0.7602
O  0.0000  0.5538  0.3516
O  0.2094  0.6873  0.7026
O  0.2906  0.3127  0.2026
O  0.5000  0.4462  0.8516
O  0.5000  0.5974  0.2602
O  0.7094  0.3127  0.2026
O  0.7906  0.6873  0.7026
F  0.2423  0.9463  0.2138
F  0.2577  0.0537  0.7138
F  0.7423  0.0537  0.7138
F  0.7577  0.9463  0.2138


[2]
This record from Alexandria describes a geometry-optimized Ho5In2Bi2 structure. The functional is PBE.

Computed properties:
The formation enthalpy at 0 K is -59.8 kJ/mol of atoms. As for the symmetry: Cmce.

Cell: 8.8724 8.8724 8.1705 Å, 90.00 90.00 54.82°
Element x y z (fractional)
Ho  0.0000  0.0000  0.0000
Ho  0.0361  0.6978  0.6674
Ho  0.1978  0.5361  0.1674
Ho  0.3022  0.9639  0.6674
Ho  0.4639  0.8022  0.1674
Ho  0.5000  0.5000  0.5000
Ho  0.5361  0.1978  0.8326
Ho  0.6978  0.0361  0.3326
Ho  0.8022  0.4639  0.8326
Ho  0.9639  0.3022  0.3326
In  0.1299  0.8701  0.3707
In  0.3701  0.6299  0.8707
In  0.6299  0.3701  0.1293
In  0.8701  0.1299  0.6293
Bi  0.2058  0.2058  0.0000
Bi  0.2942  0.2942  0.5000
Bi  0.7058  0.7058  0.5000
Bi  0.7942  0.7942  0.0000


[3]
This record from Alexandria describes a geometry-optimized PmSb12Ru4 structure. The functional is PBE.

Computed properties:
The value obtained for the raw formation energy is -5.41 eV/f.u. As for the symmetry: Im-3.

Cell: 8.1244 8.1244 8.1244 Å, 109.47 109.47 109.47°
Element x y z (fractional)
Pm  0.0000  0.0000  0.0000
Sb  0.1579  0.3395  0.4974
Sb  0.1579  0.6605  0.8184
Sb  0.1816  0.8421  0.3395
Sb  0.3395  0.1816  0.8421
Sb  0.3395  0.4974  0.1579
Sb  0.4974  0.1579  0.3395
Sb  0.5026  0.8421  0.6605
Sb  0.6605  0.5026  0.8421
Sb  0.6605  0.8184  0.1579
Sb  0.8184  0.1579  0.6605
Sb  0.8421  0.3395  0.1816
Sb  0.8421  0.6605  0.5026
Ru  0.0000  0.0000  0.5000
Ru  0.0000  0.5000  0.0000
Ru  0.5000  0.0000  0.0000
Ru  0.5000  0.5000  0.5000


[4]
This record from Alexandria describes a geometry-optimized CdOs2Rh structure. The functional is PBE.

Computed properties:
The formation enthalpy at 0 K is 57.4 kJ/mol of atoms. As for the symmetry: Pmmm.

Cell: 2.8248 4.6218 4.8029 Å, 90.00 90.00 90.00°
Element x y z (fractional)
Cd  0.0000  0.0000  0.0000
Os  0.0000  0.5000  0.5000
Os  0.5000  0.0000  0.5000
Rh  0.5000  0.5000  0.0000


[5]
This record from Alexandria describes a geometry-optimized Dy4BiPd15 structure. The functional is PBE.

Computed properties:
The formation enthalpy at 0 K is -73.3 kJ/mol of atoms. As for the symmetry: P4/mmm.

Cell: 4.1220 4.1220 20.6542 Å, 90.00 90.00 90.00°
Element x y z (fractional)
Dy  0.0000  0.0000  0.0996
Dy  0.0000  0.0000  0.2977
Dy  0.0000  0.0000  0.7023
Dy  0.0000  0.0000  0.9004
Bi  0.0000  0.0000  0.5000
Pd  0.0000  0.5000  0.0000
Pd  0.0000  0.5000  0.2003
Pd  0.0000  0.5000  0.4003
Pd  0.0000  0.5000  0.5997
Pd  0.0000  0.5000  0.7997
Pd  0.5000  0.0000  0.0000
Pd  0.5000  0.0000  0.2003
Pd  0.5000  0.0000  0.4003
Pd  0.5000  0.0000  0.5997
Pd  0.5000  0.0000  0.7997
Pd  0.5000  0.5000  0.1003
Pd  0.5000  0.5000  0.3020
Pd  0.5000  0.5000  0.5000
Pd  0.5000  0.5000  0.6980
Pd  0.5000  0.5000  0.8997


[6]
This record from Alexandria describes a geometry-optimized YCdGa2W structure. The functional is PBE.

Computed properties:
The formation enthalpy at 0 K is 30.4 kJ/mol of atoms. As for the symmetry: P4/mmm.

Cell: 4.8710 4.8710 5.1765 Å, 90.00 90.00 90.00°
Element x y z (fractional)
Y  0.0000  0.0000  0.0000
Cd  0.5000  0.5000  0.0000
Ga  0.0000  0.5000  0.5000
Ga  0.5000  0.0000  0.5000
W  0.5000  0.5000  0.5000


Ordered total DFT energy (no corrections) results: -6.317; -4.634; -5.690; -7.086; -5.768; -4.962; unit eV/atom.